Below is crystalline Pm2Dy5Sc2 at its relaxed geometry, with properties calculated at the PBE level.

DOS at the Fermi energy: 12.97 states/eV/cell
energy relative to the elements: 40 meV per atom
crystal system: monoclinic

Structure (POSCAR):
```
Pm2Dy5Sc2
1.0
-2.381 -1.821 -3.929
-1.876 -6.434 4.119
-4.189 5.937 2.894
Pm Dy Sc
2 5 2
Direct
0.892 0.335 0.784
0.108 0.665 0.216
0.665 0.002 0.330
0.335 0.998 0.670
0.780 0.666 0.560
0.220 0.334 0.440
0.000 0.000 0.000
0.556 0.337 0.112
0.444 0.663 0.888
```